NaLiMg2 after structural relaxation. Source: the Alexandria database, functional GGA-PBE.

Calculated values
The value obtained for the density of states at the Fermi level is 3.523 states/eV/cell. The electronic total energy is -1.557 eV per atom. The value obtained for the total magnetization is 0.00 μB per formula unit. Its energy of formation from the pure elements is 0.19 eV/f.u.

Cell: 5.7308 3.1457 11.0144 Å, 90.00 102.37 90.00°
Last column: nearest neighbours and their distance in Å.
Space group Cm (No. 8)
Symmetry-distinct sites (fractional):
Na (0.0000, 0.0000, 0.0000) (multiplicity 2)  6 Na 3.15-3.27, 6 Mg 3.40-3.50
Li (0.3178, 0.5000, 0.4994) (multiplicity 2)  6 Mg 3.02-3.11, 6 Li 3.15-3.27
Mg (0.2186, 0.0000, 0.7271) (multiplicity 2)  3 Li 3.02-3.11, 6 Mg 3.15-3.27
Mg (0.4166, 0.0000, 0.2717) (multiplicity 2)  3 Li 3.02-3.11, 6 Mg 3.15-3.27

***

NaLi6Mg5 after structural relaxation. Source: the Alexandria database, functional GGA-PBE.

Calculated values
The value obtained for the density of states at the Fermi level is 5.565 states/eV/cell. The electronic total energy is -1.754 eV per atom. The value obtained for the total magnetization is 0.00 μB per formula unit. Its energy of formation from the pure elements is -0.27 eV/f.u.

Cell: 4.8973 7.1096 7.6701 Å, 90.00 106.91 90.00°
Last column: nearest neighbours and their distance in Å.
Space group P2/m (No. 10)
Symmetry-distinct sites (fractional):
Na (0.0000, 0.0000, 0.0000) (multiplicity 1)  8 Li 3.05-3.09
Li (0.1696, 0.2587, 0.3391) (multiplicity 4)  7 Mg 2.95-3.07, 1 Na 3.09
Li (0.5000, 0.2550, 0.0000) (multiplicity 2)  6 Mg 2.98-3.12, 2 Na 3.05
Mg (0.0000, 0.5000, 0.0000) (multiplicity 1)  8 Li 3.00-3.02
Mg (0.3280, 0.0000, 0.6540) (multiplicity 2)  8 Li 2.95-3.12, 1 Mg 3.28
Mg (0.3342, 0.5000, 0.6715) (multiplicity 2)  8 Li 2.98-3.00

***

NaLi15Mg4 after structural relaxation. Source: the Alexandria database, functional GGA-PBE.

Calculated values
The value obtained for the density of states at the Fermi level is 7.988 states/eV/cell. The electronic total energy is -1.829 eV per atom. The value obtained for the total magnetization is 0.00 μB per formula unit. Its energy of formation from the pure elements is -0.17 eV/f.u.

Cell: 4.2542 4.2542 23.0033 Å, 90.00 90.00 90.00°
Last column: nearest neighbours and their distance in Å.
Space group P4/mmm (No. 123)
Symmetry-distinct sites (fractional):
Na (0.0000, 0.0000, 0.0000) (multiplicity 1)  12 Li 3.01-3.29
Li (0.0000, 0.5000, 0.1091) (multiplicity 4)  8 Li 3.01-3.29, 2 Mg 3.10, 2 Na 3.29
Li (0.0000, 0.5000, 0.3051) (multiplicity 4)  8 Li 3.01-3.13, 4 Mg 3.09-3.10
Li (0.0000, 0.5000, 0.5000) (multiplicity 2)  8 Li 3.01-3.09, 4 Mg 3.09
Li (0.5000, 0.5000, 0.0000) (multiplicity 1)  4 Na 3.01, 8 Li 3.29
Li (0.5000, 0.5000, 0.2054) (multiplicity 2)  4 Mg 3.01, 8 Li 3.07-3.13
Li (0.5000, 0.5000, 0.4027) (multiplicity 2)  4 Mg 3.01, 8 Li 3.09
Mg (0.0000, 0.0000, 0.2069) (multiplicity 2)  12 Li 3.01-3.10
Mg (0.0000, 0.0000, 0.4024) (multiplicity 2)  12 Li 3.01-3.09